Ho4In2S | Alexandria via LeMat-Bulk | PBE-GGA | relaxed; formation energy (no corrections) = -683 meV per atom; space-group type = I4/mmm; volume = 202 Å³/cell
1.0
5.037 0.000 0.000
0.000 5.037 0.000
-2.518 -2.518 7.957
S Ho In
1 4 2
Direct
0.000 0.000 0.000
0.828 0.828 0.656
0.172 0.172 0.344
0.000 0.500 0.000
0.500 0.000 0.000
0.632 0.632 0.264
0.368 0.368 0.736



Ho2InS | Alexandria via LeMat-Bulk | PBE-GGA | relaxed; formation energy (no corrections) = -1165 meV per atom; distance to the lowest polymorph of the same formula = 0.94 kcal/mol of atoms; space-group type = R3m; volume = 99 Å³/cell
1.0
3.759 0.000 0.000
1.879 3.255 0.000
1.879 1.085 8.119
Ho In S
2 1 1
Direct
0.066 0.066 0.802
0.267 0.267 0.199
0.500 0.500 0.501
0.667 0.667 0.998



HoInS | Alexandria via LeMat-Bulk | PBE-GGA | relaxed; formation energy (no corrections) = -1024 meV per atom; space-group type = R-3m; volume = 172 Å³/cell
1.0
4.164 0.000 0.000
2.082 3.606 0.000
2.082 1.202 11.450
Ho S In
2 2 2
Direct
0.590 0.590 0.230
0.410 0.410 0.770
0.288 0.288 0.137
0.712 0.712 0.863
0.857 0.857 0.429
0.143 0.143 0.571



HoIn2S4 | Alexandria via LeMat-Bulk | PBE-GGA | relaxed; formation energy (no corrections) = -948 meV per atom; distance to the lowest polymorph of the same formula = 1.02 kcal/mol of atoms; space-group type = C2/m; volume = 183 Å³/cell
1.0
4.141 -0.024 -0.003
-2.035 6.078 -1.638
0.006 0.139 7.254
Ho In S
1 2 4
Direct
0.000 0.000 0.000
0.632 0.263 0.565
0.368 0.737 0.435
0.854 0.709 0.643
0.146 0.291 0.357
0.614 0.228 0.898
0.386 0.772 0.102



Ho7InS5 | Alexandria via LeMat-Bulk | PBE-GGA | relaxed; formation energy (no corrections) = -1618 meV per atom; space-group type = P2_1/m; volume = 592 Å³/cell
1.0
-0.519 3.460 -1.716
-2.068 -4.704 -4.424
-21.605 1.157 8.868
Ho In S
14 2 10
Direct
0.488 0.975 0.250
0.513 0.026 0.750
0.637 0.274 0.035
0.364 0.727 0.965
0.364 0.727 0.535
0.637 0.274 0.465
0.175 0.352 0.172
0.825 0.649 0.828
0.825 0.649 0.672
0.176 0.352 0.328
0.907 0.814 0.111
0.094 0.187 0.889
0.094 0.187 0.611
0.907 0.814 0.389
0.804 0.606 0.250
0.197 0.395 0.750
0.000 0.001 0.000
0.727 0.454 0.930
0.274 0.547 0.070
0.544 0.089 0.361
0.456 0.912 0.639
0.000 0.001 0.500
0.274 0.548 0.430
0.727 0.454 0.570
0.456 0.912 0.861
0.544 0.089 0.139



HoIn2S4 | Alexandria via LeMat-Bulk | PBE-GGA | relaxed; formation energy (no corrections) = -992 meV per atom; distance to the lowest polymorph of the same formula = 0.00 kcal/mol of atoms; space-group type = Cmcm; volume = 313 Å³/cell
1.0
-1.572 3.073 1.607
-4.695 -2.718 -3.904
-4.017 -7.205 9.848
Ho In S
2 4 8
Direct
0.617 0.234 0.750
0.383 0.766 0.250
0.131 0.261 0.432
0.869 0.739 0.932
0.131 0.261 0.068
0.869 0.739 0.568
0.781 0.563 0.122
0.781 0.563 0.378
0.219 0.437 0.878
0.219 0.437 0.622
0.964 0.929 0.750
0.036 0.071 0.250
0.500 0.000 0.000
0.500 0.000 0.500